Arrangement one

## LiHPdRh2 (PBE-GGA)

Data for LiHPdRh2 after structural relaxation.

Unit cell a=3.843 b=3.843 c=3.997 alpha=90.00 beta=90.00 gamma=90.00
Sites, in units of the cell vectors:
Pd 0.000 0.000 0.500
Rh 0.500 0.000 0.000
H 0.000 0.000 0.000
Rh 0.000 0.500 0.000
Li 0.500 0.500 0.500

Computed properties:
* calculated volume: 59 Å³/cell
* size of the total moment: 0.000 μB per formula unit

=====

Arrangement two

## LiHPdRh2 (PBE-GGA)

Data for LiHPdRh2 after structural relaxation.

Unit cell a=3.825 b=3.825 c=3.955 alpha=90.00 beta=90.00 gamma=90.00
Sites, in units of the cell vectors:
Rh 0.500 0.000 0.000
Rh 0.000 0.500 0.000
Li 0.000 0.000 0.500
Pd 0.500 0.500 0.500
H 0.000 0.000 0.000

Computed properties:
* calculated volume: 58 Å³/cell
* size of the total moment: 0.000 μB per formula unit

=====

Best to worst by energy: arrangement two, arrangement one.

=====

Arrangement one

## LiHPd2Rh (PBE-GGA)

Data for LiHPd2Rh after structural relaxation.

Unit cell a=3.879 b=3.879 c=3.950 alpha=90.00 beta=90.00 gamma=90.00
Sites, in units of the cell vectors:
Pd 0.500 0.000 0.000
H 0.000 0.000 0.000
Rh 0.500 0.500 0.500
Li 0.000 0.000 0.500
Pd 0.000 0.500 0.000

Computed properties:
* calculated volume: 59 Å³/cell
* size of the total moment: 0.000 μB per formula unit

=====

Arrangement two

## LiHPd2Rh (PBE-GGA)

Data for LiHPd2Rh after structural relaxation.

Unit cell a=4.013 b=4.013 c=3.767 alpha=90.00 beta=90.00 gamma=90.00
Sites, in units of the cell vectors:
Pd 0.000 0.500 0.000
Li 0.500 0.500 0.500
Rh 0.000 0.000 0.500
H 0.000 0.000 0.000
Pd 0.500 0.000 0.000

Computed properties:
* calculated volume: 61 Å³/cell
* size of the total moment: 0.000 μB per formula unit

=====

Best to worst by energy: arrangement two, arrangement one.

=====

Arrangement one

## LiSbHPd2 (PBE-GGA)

Data for LiSbHPd2 after structural relaxation.

Unit cell a=4.998 b=5.455 c=4.998 alpha=90.00 beta=90.00 gamma=90.00
Sites, in units of the cell vectors:
Li 0.000 0.500 0.000
Pd 0.000 0.000 0.500
H 0.500 0.500 0.500
Sb 0.000 0.000 0.000
Pd 0.500 0.000 0.000

Computed properties:
* calculated volume: 136 Å³/cell
* size of the total moment: 1.131 μB per formula unit

=====

Arrangement two

## LiSbHPd2 (PBE-GGA)

Data for LiSbHPd2 after structural relaxation.

Unit cell a=4.127 b=4.127 c=3.957 alpha=90.00 beta=90.00 gamma=90.00
Sites, in units of the cell vectors:
Pd 0.000 0.500 0.000
Sb 0.500 0.500 0.500
H 0.000 0.000 0.000
Li 0.000 0.000 0.500
Pd 0.500 0.000 0.000

Computed properties:
* calculated volume: 67 Å³/cell
* size of the total moment: 0.000 μB per formula unit

=====

Best to worst by energy: arrangement two, arrangement one.

=====

Arrangement one

## LiScHPd2 (PBE-GGA)

Data for LiScHPd2 after structural relaxation.

Unit cell a=4.078 b=4.078 c=4.018 alpha=90.00 beta=90.00 gamma=90.00
Sites, in units of the cell vectors:
Sc 0.000 0.000 0.500
Pd 0.000 0.500 0.000
H 0.000 0.000 0.000
Li 0.500 0.500 0.500
Pd 0.500 0.000 0.000

Computed properties:
* calculated volume: 67 Å³/cell
* size of the total moment: 0.000 μB per formula unit

=====

Arrangement two

## LiScHPd2 (PBE-GGA)

Data for LiScHPd2 after structural relaxation.

Unit cell a=4.101 b=4.101 c=3.896 alpha=90.00 beta=90.00 gamma=90.00
Sites, in units of the cell vectors:
Li 0.000 0.000 0.500
H 0.000 0.000 0.000
Pd 0.000 0.500 0.000
Pd 0.500 0.000 0.000
Sc 0.500 0.500 0.500

Computed properties:
* calculated volume: 66 Å³/cell
* size of the total moment: 0.000 μB per formula unit

=====

Best to worst by energy: arrangement two, arrangement one.

=====

Arrangement one

## LiSc2HPd (PBE-GGA)

Data for LiSc2HPd after structural relaxation.

Unit cell a=4.607 b=4.607 c=3.673 alpha=90.00 beta=90.00 gamma=90.00
Sites, in units of the cell vectors:
Li 0.500 0.500 0.500
Sc 0.000 0.500 0.000
Pd 0.000 0.000 0.500
Sc 0.500 0.000 0.000
H 0.000 0.000 0.000

Computed properties:
* calculated volume: 78 Å³/cell
* size of the total moment: 0.007 μB per formula unit

=====

Arrangement two

## LiSc2HPd (PBE-GGA)

Data for LiSc2HPd after structural relaxation.

Unit cell a=4.578 b=4.578 c=3.521 alpha=90.00 beta=90.00 gamma=90.00
Sites, in units of the cell vectors:
Pd 0.500 0.500 0.500
Sc 0.500 0.000 0.000
H 0.000 0.000 0.000
Li 0.000 0.000 0.500
Sc 0.000 0.500 0.000

Computed properties:
* calculated volume: 74 Å³/cell
* size of the total moment: 0.000 μB per formula unit

=====

Best to worst by energy: arrangement two, arrangement one.

=====

Arrangement one

## Li2SiHPd (PBE-GGA)

Data for Li2SiHPd after structural relaxation.

Unit cell a=3.733 b=3.733 c=3.936 alpha=90.00 beta=90.00 gamma=90.00
Sites, in units of the cell vectors:
Pd 0.500 0.500 0.500
Li 0.000 0.500 0.000
Li 0.500 0.000 0.000
H 0.000 0.000 0.000
Si 0.000 0.000 0.500

Computed properties:
* calculated volume: 55 Å³/cell
* size of the total moment: 0.000 μB per formula unit

=====

Arrangement two

## Li2SiHPd (PBE-GGA)

Data for Li2SiHPd after structural relaxation.

Unit cell a=3.733 b=3.733 c=3.958 alpha=90.00 beta=90.00 gamma=90.00
Sites, in units of the cell vectors:
H 0.000 0.000 0.000
Pd 0.000 0.000 0.500
Li 0.500 0.000 0.000
Si 0.500 0.500 0.500
Li 0.000 0.500 0.000

Computed properties:
* calculated volume: 55 Å³/cell
* size of the total moment: 0.000 μB per formula unit

=====

Best to worst by energy: arrangement two, arrangement one.

=====

Arrangement one

## Li2SnHPd (PBE-GGA)

Data for Li2SnHPd after structural relaxation.

Unit cell a=4.256 b=4.256 c=3.658 alpha=90.00 beta=90.00 gamma=90.00
Sites, in units of the cell vectors:
Sn 0.500 0.500 0.500
Pd 0.000 0.000 0.500
Li 0.000 0.500 0.000
H 0.000 0.000 0.000
Li 0.500 0.000 0.000

Computed properties:
* calculated volume: 66 Å³/cell
* size of the total moment: 0.000 μB per formula unit

=====

Arrangement two

## Li2SnHPd (PBE-GGA)

Data for Li2SnHPd after structural relaxation.

Unit cell a=3.902 b=3.902 c=4.549 alpha=90.00 beta=90.00 gamma=90.00
Sites, in units of the cell vectors:
H 0.000 0.000 0.000
Pd 0.500 0.500 0.500
Li 0.000 0.500 0.000
Sn 0.000 0.000 0.500
Li 0.500 0.000 0.000

Computed properties:
* calculated volume: 69 Å³/cell
* size of the total moment: 0.000 μB per formula unit

=====

Best to worst by energy: arrangement one, arrangement two.

=====

Arrangement one

## LiSnHPd2 (PBE-GGA)

Data for LiSnHPd2 after structural relaxation.

Unit cell a=4.104 b=4.104 c=3.913 alpha=90.00 beta=90.00 gamma=90.00
Sites, in units of the cell vectors:
Sn 0.500 0.500 0.500
Pd 0.500 0.000 0.000
Li 0.000 0.000 0.500
Pd 0.000 0.500 0.000
H 0.000 0.000 0.000

Computed properties:
* calculated volume: 66 Å³/cell
* size of the total moment: 0.000 μB per formula unit

=====

Arrangement two

## LiSnHPd2 (PBE-GGA)

Data for LiSnHPd2 after structural relaxation.

Unit cell a=4.903 b=4.893 c=5.690 alpha=90.00 beta=90.00 gamma=90.00
Sites, in units of the cell vectors:
Sn 0.311 0.250 0.500
Pd 0.826 0.250 0.246
H 0.000 0.000 0.000
Pd 0.826 0.250 0.754
Pd 0.174 0.750 0.754
Li 0.672 0.750 0.000
H 0.000 0.500 0.000
Pd 0.174 0.750 0.246
Li 0.328 0.250 0.000
Sn 0.689 0.750 0.500

Computed properties:
* calculated volume: 137 Å³/cell
* size of the total moment: 0.000 μB per formula unit

=====

Best to worst by energy: arrangement one, arrangement two.

=====

Arrangement one

## LiYHPd2 (PBE-GGA)

Data for LiYHPd2 after structural relaxation.

Unit cell a=4.342 b=4.342 c=3.911 alpha=90.00 beta=90.00 gamma=90.00
Sites, in units of the cell vectors:
Li 0.000 0.000 0.500
Pd 0.500 0.000 0.000
Y 0.500 0.500 0.500
Pd 0.000 0.500 0.000
H 0.000 0.000 0.000

Computed properties:
* calculated volume: 74 Å³/cell
* size of the total moment: 0.000 μB per formula unit

=====

Arrangement two

## LiYHPd2 (PBE-GGA)

Data for LiYHPd2 after structural relaxation.

Unit cell a=4.167 b=4.167 c=4.291 alpha=90.00 beta=90.00 gamma=90.00
Sites, in units of the cell vectors:
Pd 0.500 0.000 0.000
H 0.000 0.000 0.000
Li 0.500 0.500 0.500
Pd 0.000 0.500 0.000
Y 0.000 0.000 0.500

Computed properties:
* calculated volume: 74 Å³/cell
* size of the total moment: 0.000 μB per formula unit

=====

Best to worst by energy: arrangement one, arrangement two.

=====

Arrangement one

## Li2ZnHPd (PBE-GGA)

Data for Li2ZnHPd after structural relaxation.

Unit cell a=3.770 b=3.770 c=4.079 alpha=90.00 beta=90.00 gamma=90.00
Sites, in units of the cell vectors:
Li 0.500 0.000 0.000
H 0.000 0.000 0.000
Zn 0.000 0.000 0.500
Pd 0.500 0.500 0.500
Li 0.000 0.500 0.000

Computed properties:
* calculated volume: 58 Å³/cell
* size of the total moment: 0.000 μB per formula unit

=====

Arrangement two

## Li2ZnHPd (PBE-GGA)

Data for Li2ZnHPd after structural relaxation.

Unit cell a=3.917 b=3.917 c=3.801 alpha=90.00 beta=90.00 gamma=90.00
Sites, in units of the cell vectors:
Pd 0.000 0.000 0.500
Zn 0.500 0.500 0.500
Li 0.000 0.500 0.000
Li 0.500 0.000 0.000
H 0.000 0.000 0.000

Computed properties:
* calculated volume: 58 Å³/cell
* size of the total moment: 0.000 μB per formula unit

=====

Best to worst by energy: arrangement two, arrangement one.

=====

Arrangement one

## LiZr2HPd (PBE-GGA)

Data for LiZr2HPd after structural relaxation.

Unit cell a=4.439 b=4.439 c=3.826 alpha=90.00 beta=90.00 gamma=90.00
Sites, in units of the cell vectors:
H 0.000 0.000 0.000
Pd 0.500 0.500 0.500
Li 0.000 0.000 0.500
Zr 0.500 0.000 0.000
Zr 0.000 0.500 0.000

Computed properties:
* calculated volume: 75 Å³/cell
* size of the total moment: 0.000 μB per formula unit

=====

Arrangement two

## LiZr2HPd (PBE-GGA)

Data for LiZr2HPd after structural relaxation.

Unit cell a=4.391 b=4.391 c=4.000 alpha=90.00 beta=90.00 gamma=90.00
Sites, in units of the cell vectors:
H 0.000 0.000 0.000
Zr 0.500 0.000 0.000
Pd 0.000 0.000 0.500
Li 0.500 0.500 0.500
Zr 0.000 0.500 0.000

Computed properties:
* calculated volume: 77 Å³/cell
* size of the total moment: 0.000 μB per formula unit

=====

Best to worst by energy: arrangement one, arrangement two.

=====

Arrangement one

## LiH2Pt2 (PBE-GGA)

Data for LiH2Pt2 after structural relaxation.

Unit cell a=3.032 b=3.032 c=5.713 alpha=74.61 beta=74.61 gamma=90.00
Sites, in units of the cell vectors:
Li 0.000 0.000 0.000
H 0.250 0.750 0.500
Pt 0.362 0.362 0.276
Pt 0.638 0.638 0.724
H 0.750 0.250 0.500

Computed properties:
* calculated volume: 49 Å³/cell
* size of the total moment: 0.000 μB per formula unit

=====

Arrangement two

## LiH2Pt2 (PBE-GGA)

Data for LiH2Pt2 after structural relaxation.

Unit cell a=5.875 b=5.875 c=2.923 alpha=90.00 beta=90.00 gamma=90.00
Sites, in units of the cell vectors:
Li 0.000 0.000 0.000
Pt 0.260 0.240 0.500
H 0.145 0.355 0.000
Pt 0.240 0.740 0.500
Pt 0.760 0.260 0.500
H 0.855 0.645 0.000
Pt 0.740 0.760 0.500
H 0.645 0.145 0.000
Li 0.500 0.500 0.000
H 0.355 0.855 0.000

Computed properties:
* calculated volume: 101 Å³/cell
* size of the total moment: 0.000 μB per formula unit

=====

Best to worst by energy: arrangement two, arrangement one.